Computed, not measured: an optimized crystal structure of MoAs2Ru at the PBE level of DFT.

Calculated values
The calculation puts the energy at -7.065 eV/atom. As for the density of states at the Fermi level: 3.45 states/eV/f.u. For the magnetization, the calculation gives 0.00 μB per cell. The crystal system is orthorhombic. For the energy relative to the elements, the calculation gives 0.2869 eV per atom.

Geometry as CIF:
```
data_MoAs2Ru
_space_group_name_H-M_alt 'P m m m'
_space_group_IT_number 47
_space_group_name_Hall '-P 2 2'
_cell_length_a 3.0710
_cell_length_b 4.0004
_cell_length_c 5.2285
_cell_angle_alpha 90.00
_cell_angle_beta 90.00
_cell_angle_gamma 90.00
loop_
_atom_site_label
_atom_site_type_symbol
_atom_site_fract_x
_atom_site_fract_y
_atom_site_fract_z
Mo1 Mo 0.0000 0.0000 0.0000
As1 As 0.0000 0.5000 0.5000
As2 As 0.5000 0.5000 0.0000
Ru1 Ru 0.5000 0.0000 0.5000
```